Here is crystalline HfTi2Pb at its relaxed geometry from the Alexandria database. Energies are from PBE.

The density of states at the Fermi level comes out at 1.276 states/eV/atom. As for the formation energy: -0.01 eV/atom.

Geometry as POSCAR:
```
HfTi2Pb
1.0
4.426 0.000 0.000
0.000 4.426 0.000
0.000 0.000 4.037
Hf Ti Pb
1 2 1
direct
0.000 0.000 0.000
0.000 0.500 0.500
0.500 0.000 0.500
0.500 0.500 0.000
```


Here is crystalline HfTi2Pb2 at its relaxed geometry from the Alexandria database. Energies are from PBE.

The density of states at the Fermi level comes out at 0.898 states/eV/atom. As for the formation energy: 0.09 eV/atom.

Geometry as POSCAR:
```
HfTi2Pb2
1.0
7.707 0.000 0.000
0.000 7.707 0.000
0.000 0.000 3.622
Hf Ti Pb
2 4 4
direct
0.000 0.000 0.000
0.500 0.500 0.000
0.159 0.341 0.500
0.341 0.841 0.500
0.659 0.159 0.500
0.841 0.659 0.500
0.143 0.643 0.000
0.357 0.143 0.000
0.643 0.857 0.000
0.857 0.357 0.000
```


Here is crystalline HfTi2Pb at its relaxed geometry from the Alexandria database. Energies are from PBE.

The density of states at the Fermi level comes out at 1.015 states/eV/atom. As for the formation energy: -0.01 eV/atom.

Geometry as POSCAR:
```
HfTi2Pb
1.0
4.895 0.000 0.000
0.000 5.961 0.000
0.000 0.000 5.491
Hf Ti Pb
2 4 2
direct
0.250 0.250 0.160
0.750 0.750 0.840
0.250 0.001 0.636
0.250 0.499 0.636
0.750 0.501 0.364
0.750 0.999 0.364
0.250 0.750 0.164
0.750 0.250 0.836
```


Here is crystalline HfTi2Pb2 at its relaxed geometry from the Alexandria database. Energies are from PBE.

The density of states at the Fermi level comes out at 1.016 states/eV/atom. As for the formation energy: 0.21 eV/atom.

Geometry as POSCAR:
```
HfTi2Pb2
1.0
8.192 0.000 0.000
0.000 8.192 0.000
0.000 0.000 3.214
Hf Ti Pb
2 4 4
direct
0.000 0.000 0.000
0.500 0.500 0.000
0.119 0.381 0.000
0.381 0.881 0.000
0.619 0.119 0.000
0.881 0.619 0.000
0.178 0.678 0.500
0.322 0.178 0.500
0.678 0.822 0.500
0.822 0.322 0.500
```


Here is crystalline HfTi7Pb3 at its relaxed geometry from the Alexandria database. Energies are from PBE.

The density of states at the Fermi level comes out at 1.351 states/eV/atom. As for the formation energy: 0.33 eV/atom.

Geometry as POSCAR:
```
HfTi7Pb3
1.0
-2.513 4.582 4.968
2.513 -4.582 4.968
2.513 4.582 -4.968
Hf Ti Pb
1 7 3
direct
0.000 0.000 0.000
0.000 0.500 0.500
0.081 0.272 0.808
0.307 0.000 0.307
0.464 0.272 0.192
0.536 0.728 0.808
0.693 0.000 0.693
0.919 0.728 0.192
0.272 0.772 0.500
0.500 0.500 0.000
0.728 0.228 0.500
```


Here is crystalline Hf3Ti3Pb at its relaxed geometry from the Alexandria database. Energies are from PBE.

The density of states at the Fermi level comes out at 1.278 states/eV/atom. As for the formation energy: 0.04 eV/atom.

Geometry as POSCAR:
```
Hf3Ti3Pb
1.0
8.116 0.000 0.000
-4.058 7.029 0.000
0.000 0.000 5.028
Hf Ti Pb
6 6 2
direct
0.103 0.649 0.250
0.351 0.454 0.250
0.454 0.103 0.750
0.546 0.897 0.250
0.649 0.546 0.750
0.897 0.351 0.750
0.050 0.833 0.750
0.167 0.217 0.750
0.217 0.050 0.250
0.783 0.950 0.750
0.833 0.783 0.250
0.950 0.167 0.250
0.333 0.667 0.750
0.667 0.333 0.250
```


Here is crystalline HfTi2Pb at its relaxed geometry from the Alexandria database. Energies are from PBE.

The density of states at the Fermi level comes out at 1.058 states/eV/atom. As for the formation energy: 0.12 eV/atom.

Geometry as POSCAR:
```
HfTi2Pb
1.0
1.592 0.919 9.585
-1.592 0.919 9.585
0.000 -1.838 9.585
Hf Ti Pb
1 2 1
direct
0.000 0.000 0.000
0.586 0.586 0.586
0.748 0.748 0.748
0.167 0.167 0.167
```


Here is crystalline HfTi3Pb2 at its relaxed geometry from the Alexandria database. Energies are from PBE.

The density of states at the Fermi level comes out at 1.255 states/eV/atom. As for the formation energy: 0.46 eV/atom.

Geometry as POSCAR:
```
HfTi3Pb2
1.0
-1.543 2.566 8.242
1.543 -2.566 8.242
1.543 2.566 -8.242
Hf Ti Pb
1 3 2
direct
0.000 0.000 0.000
0.174 0.174 0.000
0.500 0.000 0.500
0.826 0.826 0.000
0.347 0.347 0.000
0.653 0.653 0.000
```


Here is crystalline Hf3Ti2Pb2 at its relaxed geometry from the Alexandria database. Energies are from PBE.

The density of states at the Fermi level comes out at 0.628 states/eV/atom. As for the formation energy: 0.09 eV/atom.

Geometry as POSCAR:
```
Hf3Ti2Pb2
1.0
7.511 -1.603 0.000
7.511 1.603 0.000
-6.443 0.000 12.934
Hf Ti Pb
6 4 4
direct
0.005 0.005 0.121
0.174 0.174 0.521
0.348 0.348 0.149
0.652 0.652 0.851
0.826 0.826 0.479
0.995 0.995 0.879
0.074 0.074 0.653
0.247 0.247 0.287
0.753 0.753 0.713
0.926 0.926 0.347
0.347 0.347 0.931
0.413 0.413 0.680
0.587 0.587 0.320
0.653 0.653 0.069
```


Here is crystalline Hf7TiPb2 at its relaxed geometry from the Alexandria database. Energies are from PBE.

The density of states at the Fermi level comes out at 1.670 states/eV/atom. As for the formation energy: 0.99 eV/atom.

Geometry as POSCAR:
```
Hf7TiPb2
1.0
0.000 5.081 5.081
5.081 0.000 5.081
5.081 5.081 0.000
Hf Ti Pb
7 1 2
direct
0.000 0.000 0.000
0.258 0.258 0.742
0.258 0.742 0.258
0.258 0.742 0.742
0.742 0.258 0.258
0.742 0.258 0.742
0.742 0.742 0.258
0.500 0.500 0.500
0.250 0.250 0.250
0.750 0.750 0.750
```


Here is crystalline Hf3Ti3Pb2 at its relaxed geometry from the Alexandria database. Energies are from PBE.

The density of states at the Fermi level comes out at 1.173 states/eV/atom. As for the formation energy: -0.02 eV/atom.

Geometry as POSCAR:
```
Hf3Ti3Pb2
1.0
3.884 2.242 3.138
-3.884 2.242 3.138
0.000 -4.485 3.138
Hf Ti Pb
3 3 2
direct
0.000 0.753 0.247
0.247 0.000 0.753
0.753 0.247 0.000
0.242 0.500 0.758
0.500 0.758 0.242
0.758 0.242 0.500
0.261 0.261 0.261
0.739 0.739 0.739
```


Here is crystalline Hf2Ti3Pb2 at its relaxed geometry from the Alexandria database. Energies are from PBE.

The density of states at the Fermi level comes out at 0.835 states/eV/atom. As for the formation energy: 0.00 eV/atom.

Geometry as POSCAR:
```
Hf2Ti3Pb2
1.0
5.584 -1.817 0.000
5.584 1.817 0.000
-1.154 0.000 7.241
Hf Ti Pb
2 3 2
direct
0.092 0.092 0.234
0.908 0.908 0.766
0.208 0.208 0.616
0.500 0.500 0.500
0.792 0.792 0.384
0.369 0.369 0.101
0.631 0.631 0.899
```